NaHPdI2: relaxed, PBE-GGA.

## Properties
The space-group type is P4/mmm (123). Its theoretical density is 5.44 g cm⁻³. As for the electronic total energy: -2.9761 eV per atom.

Cell: 5.628 5.628 3.706 Å, 90.00 90.00 90.00°
Fractional coordinates of all 5 atoms:
1 I 0.500 0.000 0.000
2 Pd 0.000 0.000 0.000
3 Na 0.500 0.500 0.500
4 H 0.000 0.000 0.500
5 I 0.000 0.500 0.000

Rb2NaHI6: relaxed, PBE-GGA.

## Properties
The space-group type is I4/mmm (139). Its theoretical density is 3.76 g cm⁻³. As for the electronic total energy: -2.1112 eV per atom.

Cell: 7.732 7.732 8.935 Å, 64.36 64.36 90.00°
Fractional coordinates of all 10 atoms:
1 I 0.717 0.283 0.000
2 I 0.221 0.221 0.558
3 I 0.717 0.717 0.000
4 H 0.500 0.500 0.000
5 I 0.779 0.779 0.442
6 I 0.283 0.283 0.000
7 Na 0.000 0.000 0.000
8 Rb 0.750 0.250 0.500
9 I 0.283 0.717 0.000
10 Rb 0.250 0.750 0.500

RbNa2HI: relaxed, PBE-GGA.

## Properties
The space-group type is P4/mmm (123). Its theoretical density is 2.61 g cm⁻³. As for the electronic total energy: -2.1242 eV per atom.

Cell: 5.078 5.078 6.404 Å, 90.00 90.00 90.00°
Fractional coordinates of all 5 atoms:
1 Rb 0.000 0.000 0.500
2 H 0.000 0.000 0.000
3 Na 0.500 0.000 0.000
4 I 0.500 0.500 0.500
5 Na 0.000 0.500 0.000

Na2HSI: relaxed, PBE-GGA.

## Properties
The space-group type is P2_1/m (11). Its theoretical density is 2.85 g cm⁻³. As for the electronic total energy: -3.2573 eV per atom.

Cell: 4.514 7.207 8.561 Å, 120.41 90.00 90.00°
Fractional coordinates of all 10 atoms:
1 H 0.250 0.608 0.811
2 Na 0.750 0.791 0.995
3 Na 0.750 0.728 0.528
4 I 0.750 0.251 0.749
5 Na 0.250 0.272 0.472
6 H 0.750 0.392 0.189
7 I 0.250 0.749 0.251
8 Na 0.250 0.209 0.005
9 S 0.750 0.251 0.249
10 S 0.250 0.749 0.751

NaSbHI2: relaxed, PBE-GGA.

## Properties
The space-group type is P4/mmm (123). Its theoretical density is 3.04 g cm⁻³. Its energy above the most stable polymorph in this dataset is 769 meV/atom. As for the electronic total energy: -1.7398 eV per atom.

Cell: 5.995 5.995 6.071 Å, 90.00 90.00 90.00°
Fractional coordinates of all 5 atoms:
1 H 0.500 0.500 0.500
2 I 0.000 0.500 0.000
3 I 0.500 0.000 0.000
4 Sb 0.000 0.000 0.500
5 Na 0.000 0.000 0.000

NaSbHI2: relaxed, PBE-GGA.

## Properties
The space-group type is P4/mmm (123). Its theoretical density is 4.87 g cm⁻³. Its energy above the most stable polymorph in this dataset is 0 meV/atom. As for the electronic total energy: -2.5089 eV per atom.

Cell: 5.855 5.855 3.970 Å, 90.00 90.00 90.00°
Fractional coordinates of all 5 atoms:
1 I 0.500 0.000 0.000
2 Sb 0.000 0.000 0.500
3 I 0.000 0.500 0.000
4 H 0.000 0.000 0.000
5 Na 0.500 0.500 0.500

NaHSe2I: relaxed, PBE-GGA.

## Properties
The space-group type is P4/mmm (123). Its theoretical density is 3.52 g cm⁻³. As for the electronic total energy: -2.7038 eV per atom.

Cell: 4.104 8.657 4.104 Å, 90.00 90.00 90.00°
Fractional coordinates of all 5 atoms:
1 H 0.000 0.000 0.000
2 I 0.000 0.500 0.000
3 Se 0.000 0.000 0.500
4 Se 0.500 0.000 0.000
5 Na 0.500 0.500 0.500

NaTaHI2: relaxed, PBE-GGA.

## Properties
The space-group type is P4/mmm (123). Its theoretical density is 4.05 g cm⁻³. As for the electronic total energy: -3.1385 eV per atom.

Cell: 5.461 6.310 5.461 Å, 90.00 90.00 90.00°
Fractional coordinates of all 5 atoms:
1 I 0.500 0.000 0.000
2 H 0.500 0.500 0.500
3 Na 0.000 0.500 0.000
4 Ta 0.000 0.000 0.000
5 I 0.000 0.000 0.500

NaTe2HI: relaxed, PBE-GGA.

## Properties
The space-group type is P4/mmm (123). Its theoretical density is 4.02 g cm⁻³. Its energy above the most stable polymorph in this dataset is 0 meV/atom. As for the electronic total energy: -2.6581 eV per atom.

Cell: 4.415 4.415 8.606 Å, 90.00 90.00 90.00°
Fractional coordinates of all 5 atoms:
1 Te 0.500 0.000 0.000
2 Te 0.000 0.500 0.000
3 H 0.000 0.000 0.000
4 Na 0.500 0.500 0.500
5 I 0.000 0.000 0.500

NaTe2HI: relaxed, PBE-GGA.

## Properties
The space-group type is P4/mmm (123). Its theoretical density is 3.36 g cm⁻³. Its energy above the most stable polymorph in this dataset is 923 meV/atom. As for the electronic total energy: -1.7350 eV per atom.

Cell: 5.754 5.754 6.057 Å, 90.00 90.00 90.00°
Fractional coordinates of all 5 atoms:
1 Te 0.500 0.000 0.000
2 H 0.500 0.500 0.500
3 Na 0.000 0.000 0.000
4 Te 0.000 0.500 0.000
5 I 0.000 0.000 0.500

NaTlH2I: relaxed, PBE-GGA.

## Properties
The space-group type is P4/mmm (123). Its theoretical density is 4.62 g cm⁻³. As for the electronic total energy: -1.9303 eV per atom.

Cell: 4.304 6.916 4.304 Å, 90.00 90.00 90.00°
Fractional coordinates of all 5 atoms:
1 I 0.000 0.000 0.000
2 H 0.000 0.000 0.500
3 Tl 0.000 0.500 0.000
4 H 0.500 0.000 0.000
5 Na 0.500 0.500 0.500

NaTl2HI4: relaxed, PBE-GGA.

## Properties
The space-group type is P2/m (10). Its theoretical density is 5.24 g cm⁻³. As for the electronic total energy: -2.2697 eV per atom.

Cell: 4.208 8.730 8.871 Å, 66.15 90.00 90.00°
Fractional coordinates of all 8 atoms:
1 I 0.000 0.310 0.189
2 Tl 0.000 0.000 0.000
3 Tl 0.500 0.000 0.500
4 I 0.500 0.253 0.707
5 Na 0.000 0.500 0.500
6 H 0.500 0.500 0.000
7 I 0.000 0.690 0.811
8 I 0.500 0.747 0.293

NbHI2: relaxed, PBE-GGA.

## Properties
The space-group type is I-42d (122). Its theoretical density is 5.49 g cm⁻³. As for the electronic total energy: -3.5007 eV per atom.

Cell: 6.137 6.137 7.076 Å, 64.30 64.30 90.00°
Fractional coordinates of all 8 atoms:
1 I 0.875 0.831 0.750
2 I 0.375 0.419 0.750
3 I 0.581 0.125 0.250
4 I 0.169 0.625 0.250
5 Nb 0.750 0.250 0.500
6 Nb 0.000 0.000 0.000
7 H 0.250 0.750 0.500
8 H 0.500 0.500 0.000

NbH2I: relaxed, PBE-GGA.

## Properties
The space-group type is Fm-3m (225). Its theoretical density is 6.60 g cm⁻³. Its energy above the most stable polymorph in this dataset is 815 meV/atom. As for the electronic total energy: -3.4820 eV per atom.

Cell: 4.289 4.289 4.289 Å, 60.00 60.00 60.00°
Fractional coordinates of all 4 atoms:
1 H 0.250 0.250 0.250
2 Nb 0.000 0.000 0.000
3 H 0.750 0.750 0.750
4 I 0.500 0.500 0.500

NbH3I6: relaxed, PBE-GGA.

## Properties
The space-group type is P-1 (2). Its theoretical density is 4.08 g cm⁻³. As for the electronic total energy: -3.0589 eV per atom.

Cell: 7.955 8.145 6.771 Å, 101.96 117.75 104.29°
Fractional coordinates of all 10 atoms:
1 H 0.000 0.000 0.000
2 I 0.277 0.183 0.223
3 I 0.155 0.822 0.521
4 Nb 0.500 0.000 0.500
5 H 0.265 0.771 0.815
6 I 0.657 0.308 0.922
7 I 0.343 0.692 0.078
8 I 0.723 0.817 0.777
9 I 0.845 0.178 0.479
10 H 0.735 0.229 0.185

NbHI2: relaxed, PBE-GGA.

## Properties
The space-group type is Fm-3m (225). Its theoretical density is 6.72 g cm⁻³. As for the electronic total energy: -3.5328 eV per atom.

Cell: 4.953 4.953 4.953 Å, 60.00 60.00 60.00°
Fractional coordinates of all 4 atoms:
1 Nb 0.500 0.500 0.500
2 H 0.000 0.000 0.000
3 I 0.750 0.750 0.750
4 I 0.250 0.250 0.250

Nb2HI: relaxed, PBE-GGA.

## Properties
The space-group type is Fm-3m (225). Its theoretical density is 7.78 g cm⁻³. Its energy above the most stable polymorph in this dataset is 596 meV/atom. As for the electronic total energy: -5.2398 eV per atom.

Cell: 4.558 4.558 4.558 Å, 60.00 60.00 60.00°
Fractional coordinates of all 4 atoms:
1 H 0.000 0.000 0.000
2 I 0.500 0.500 0.500
3 Nb 0.750 0.750 0.750
4 Nb 0.250 0.250 0.250

NbHI3: relaxed, PBE-GGA.

## Properties
The space-group type is C2/m (12). Its theoretical density is 5.89 g cm⁻³. Its energy above the most stable polymorph in this dataset is 0 meV/atom. As for the electronic total energy: -3.7272 eV per atom.

Cell: 6.480 6.480 7.897 Å, 120.23 106.93 91.80°
Fractional coordinates of all 10 atoms:
1 I 0.907 0.032 0.302
2 I 0.093 0.968 0.698
3 I 0.730 0.605 0.698
4 H 0.407 0.957 0.365
5 H 0.593 0.043 0.635
6 Nb 0.616 0.779 0.395
7 I 0.688 0.330 0.018
8 I 0.270 0.395 0.302
9 Nb 0.384 0.221 0.605
10 I 0.312 0.670 0.982

Nb6HI11: relaxed, PBE-GGA.

## Properties
The space-group type is Pccn (56). Its theoretical density is 5.02 g cm⁻³. As for the electronic total energy: -4.9750 eV per atom.

Cell: 11.658 13.821 16.057 Å, 90.00 90.00 90.00°
Fractional coordinates of all 72 atoms:
1 I 0.800 0.449 0.000
2 I 0.358 0.314 0.111
3 I 0.315 0.294 0.621
4 Nb 0.128 0.913 0.953
5 Nb 0.400 0.020 0.397
6 I 0.642 0.186 0.611
7 Nb 0.600 0.480 0.897
8 Nb 0.923 0.880 0.048
9 Nb 0.900 0.980 0.897
10 Nb 0.628 0.087 0.453
11 I 0.185 0.294 0.879
12 Nb 0.423 0.620 0.952
13 I 0.185 0.794 0.621
14 Nb 0.872 0.587 0.453
15 I 0.642 0.686 0.889
16 I 0.142 0.814 0.111
17 I 0.315 0.794 0.879
18 I 0.358 0.814 0.389
19 Nb 0.628 0.587 0.047
20 Nb 0.077 0.120 0.952
21 H 0.500 0.500 0.000
22 I 0.539 0.277 0.894
23 H 0.500 0.000 0.500
24 I 0.200 0.551 0.000
25 Nb 0.128 0.413 0.547
26 Nb 0.900 0.480 0.603
27 I 0.858 0.686 0.611
28 I 0.901 0.484 0.294
29 I 0.250 0.561 0.250
30 I 0.461 0.223 0.394
31 Nb 0.423 0.120 0.548
32 Nb 0.372 0.913 0.547
33 I 0.250 0.061 0.250
34 I 0.300 0.051 0.000
35 I 0.750 0.439 0.750
36 I 0.800 0.949 0.500
37 Nb 0.600 0.980 0.603
38 I 0.401 0.016 0.706
39 Nb 0.577 0.880 0.452
40 Nb 0.400 0.520 0.103
41 I 0.961 0.777 0.894
42 Nb 0.100 0.020 0.103
43 I 0.700 0.949 0.000
44 Nb 0.923 0.380 0.452
45 Nb 0.577 0.380 0.048
46 I 0.039 0.223 0.106
47 I 0.901 0.984 0.206
48 I 0.401 0.516 0.794
49 I 0.039 0.723 0.394
50 I 0.961 0.277 0.606
51 I 0.142 0.314 0.389
52 I 0.539 0.777 0.606
53 I 0.461 0.723 0.106
54 Nb 0.372 0.413 0.953
55 I 0.099 0.516 0.706
56 H 0.000 0.500 0.500
57 I 0.815 0.706 0.121
58 I 0.750 0.939 0.750
59 Nb 0.100 0.520 0.397
60 H 0.000 0.000 0.000
61 I 0.685 0.706 0.379
62 I 0.815 0.206 0.379
63 Nb 0.077 0.620 0.548
64 I 0.685 0.206 0.121
65 I 0.200 0.051 0.500
66 Nb 0.872 0.087 0.047
67 I 0.099 0.016 0.794
68 I 0.599 0.984 0.294
69 I 0.858 0.186 0.889
70 I 0.700 0.449 0.500
71 I 0.599 0.484 0.206
72 I 0.300 0.551 0.500

Nb2HI: relaxed, PBE-GGA.

## Properties
The space-group type is I-42d (122). Its theoretical density is 7.18 g cm⁻³. Its energy above the most stable polymorph in this dataset is 0 meV/atom. As for the electronic total energy: -5.8360 eV per atom.

Cell: 5.165 5.165 6.551 Å, 66.78 66.78 90.00°
Fractional coordinates of all 8 atoms:
1 H 0.250 0.750 0.500
2 Nb 0.451 0.125 0.250
3 I 0.000 0.000 0.000
4 Nb 0.375 0.549 0.750
5 Nb 0.875 0.701 0.750
6 Nb 0.299 0.625 0.250
7 I 0.750 0.250 0.500
8 H 0.500 0.500 0.000